DFT (meta-GGA SCAN) results for a PBEsol-optimized structure of Mn2NiMo.

Results
size of the total moment: 5.5 μB/f.u.
SG: No. 10
calculated volume: 11.854 Å³/atom
formation enthalpy at 0 K: 116 meV/atom

abc: 2.496 4.103 4.658
angles: 90.00 96.37 90.00
Fractional positions:
Mn 0.735 0.000 0.739
Mn 0.265 0.000 0.261
Mo 0.500 0.500 0.000
Ni 0.000 0.500 0.500